No. 1
Entry from Alexandria via LeMat-Bulk: crystalline LaPu2Bi at its relaxed geometry (GGA-PBE).

Lattice parameters (Å, degrees): 4.7864 4.7864 5.1040 90.00 90.00 90.00
Closest atoms and distances in Å follow each position.
Space group P4/mmm (No. 123)
Symmetry-distinct sites (fractional):
La (0.0000, 0.0000, 0.0000) [1 per cell]  4 Bi 3.38, 8 Pu 3.50
Pu (0.0000, 0.5000, 0.5000) [2 per cell]  4 Pu 3.38, 4 La 3.50, 4 Bi 3.50
Bi (0.5000, 0.5000, 0.0000) [1 per cell]  4 La 3.38, 8 Pu 3.50

Properties
Total energy = -9.65 eV per atom
Energy relative to the elements = -0.2835 eV/atom

=====

No. 2
Entry from Alexandria via LeMat-Bulk: crystalline LaPuBi2 at its relaxed geometry (GGA-PBE).

Lattice parameters (Å, degrees): 4.5780 4.5780 23.5253 90.00 90.00 120.00
Closest atoms and distances in Å follow each position.
Space group R3m (No. 160, hexagonal axes)
Symmetry-distinct sites (fractional):
La (0.0000, 0.0000, 0.0000) [3 per cell]  6 Bi 3.33-3.39
Pu (0.0000, 0.0000, 0.8294) [3 per cell]  6 Bi 3.20-3.25
Bi (0.0000, 0.0000, 0.2430) [3 per cell]  3 Pu 3.25, 3 La 3.39
Bi (0.0000, 0.0000, 0.4191) [3 per cell]  3 Pu 3.20, 3 La 3.33

Properties
Total energy = -7.34 eV per atom
Energy above the lowest structure with this stoichiometry = 0.091 eV per atom
Energy relative to the elements = -0.5872 eV/atom

=====

No. 3
Entry from Alexandria via LeMat-Bulk: crystalline LaPu2Bi3 at its relaxed geometry (GGA-PBE).

Lattice parameters (Å, degrees): 4.6037 6.5014 13.7654 90.00 90.00 90.00
Closest atoms and distances in Å follow each position.
Space group Immm (No. 71)
Symmetry-distinct sites (fractional):
La (0.0000, 0.0000, 0.0000) [2 per cell]  6 Bi 3.25-3.31
Pu (0.0000, 0.0000, 0.3354) [4 per cell]  6 Bi 3.21-3.25
Bi (0.0000, 0.5000, 0.0000) [2 per cell]  4 Pu 3.23, 2 La 3.25
Bi (0.0000, 0.5000, 0.3267) [4 per cell]  4 Pu 3.21-3.25, 2 La 3.31

Properties
Total energy = -8.09 eV per atom
Energy relative to the elements = -0.5504 eV/atom

=====

No. 4
Entry from Alexandria via LeMat-Bulk: crystalline LaPuBi2 at its relaxed geometry (GGA-PBE).

Lattice parameters (Å, degrees): 4.6306 4.6306 22.5919 90.00 90.00 120.00
Closest atoms and distances in Å follow each position.
Space group R-3m (No. 166, hexagonal axes)
Symmetry-distinct sites (fractional):
La (0.0000, 0.0000, 0.0000) [3 per cell]  6 Bi 3.32
Pu (0.0000, 0.0000, 0.5000) [3 per cell]  6 Bi 3.22
Bi (0.0000, 0.0000, 0.2462) [6 per cell]  3 Pu 3.22, 3 La 3.32

Properties
Total energy = -7.43 eV per atom
Energy above the lowest structure with this stoichiometry = 0.000 eV per atom
Energy relative to the elements = -0.6777 eV/atom

=====

No. 5
Entry from Alexandria via LeMat-Bulk: crystalline LaPuBi2 at its relaxed geometry (GGA-PBE).

Lattice parameters (Å, degrees): 5.9981 5.9981 3.4428 90.00 90.00 90.00
Closest atoms and distances in Å follow each position.
Space group P4/mmm (No. 123)
Symmetry-distinct sites (fractional):
La (0.0000, 0.0000, 0.0000) [1 per cell]  2 La 3.44, 8 Bi 3.46
Pu (0.5000, 0.5000, 0.0000) [1 per cell]  2 Pu 3.44, 8 Bi 3.46
Bi (0.0000, 0.5000, 0.5000) [2 per cell]  2 Bi 3.44, 4 Pu 3.46, 4 La 3.46

Properties
Total energy = -7.36 eV per atom
Energy above the lowest structure with this stoichiometry = 0.074 eV per atom
Energy relative to the elements = -0.6033 eV/atom

=====

No. 6
Entry from Alexandria via LeMat-Bulk: crystalline LaPuBi2 at its relaxed geometry (GGA-PBE).

Lattice parameters (Å, degrees): 4.5785 4.5785 7.9796 90.00 90.00 120.00
Closest atoms and distances in Å follow each position.
Space group P-3m1 (No. 164)
Symmetry-distinct sites (fractional):
La (0.0000, 0.0000, 0.0000) [1 per cell]  6 Bi 3.36
Pu (0.0000, 0.0000, 0.5000) [1 per cell]  6 Bi 3.27
Bi (0.3333, 0.6667, 0.7403) [2 per cell]  3 Pu 3.27, 3 La 3.36

Properties
Total energy = -7.32 eV per atom
Energy above the lowest structure with this stoichiometry = 0.113 eV per atom
Energy relative to the elements = -0.5644 eV/atom